i.
The following is a DFT calculation (PBE-GGA) of crystalline Ca2MoRh at its relaxed geometry.

abc: 4.7481 3.0399 6.0152
angles: 69.94 90.00 90.00
With the nearest neighbours (Å) after each atom.
Fractional coordinates of all 4 atoms:
Ca 0.0000 0.9528 0.9936  4 Ca 2.87-3.04, 2 Rh 2.96, 2 Mo 3.13
Ca 0.0000 0.5472 0.5064  4 Ca 2.87-3.04, 2 Rh 2.96, 2 Mo 3.13
Rh 0.5000 0.7500 0.7500  2 Mo 2.87, 4 Ca 2.96, 2 Rh 3.04
Mo 0.5000 0.2500 0.2500  2 Rh 2.87, 2 Mo 3.04, 4 Ca 3.13

## Properties
total moment: 0.00 μB/f.u.

=====

ii.
The following is a DFT calculation (PBE-GGA) of crystalline Ca2MoRh at its relaxed geometry.

abc: 6.2912 5.5388 3.0015
angles: 87.68 66.07 117.26
With the nearest neighbours (Å) after each atom.
Fractional coordinates of all 4 atoms:
Ca 0.5000 0.0000 0.5000  4 Ca 2.88-3.00, 4 Rh 3.10-3.20, 4 Mo 3.10-3.20
Ca 0.0000 0.0000 0.0000  4 Ca 2.88-3.00, 4 Mo 3.10-3.20, 4 Rh 3.10-3.20
Mo 0.0000 0.5000 0.5000  2 Rh 2.88, 2 Mo 3.00, 8 Ca 3.10-3.20
Rh 0.5000 0.5000 0.0000  2 Mo 2.88, 2 Rh 3.00, 8 Ca 3.10-3.20

## Properties
total moment: 0.00 μB/f.u.

=====

iii.
The following is a DFT calculation (PBE-GGA) of crystalline Ca2MoRh at its relaxed geometry.

abc: 5.0032 5.0032 5.0032
angles: 60.00 60.00 60.00
With the nearest neighbours (Å) after each atom.
Fractional coordinates of all 4 atoms:
Rh 0.5000 0.5000 0.5000  8 Ca 3.06
Ca 0.7500 0.7500 0.7500  4 Rh 3.06, 4 Mo 3.06
Ca 0.2500 0.2500 0.2500  4 Rh 3.06, 4 Mo 3.06
Mo 0.0000 0.0000 0.0000  8 Ca 3.06

## Properties
total moment: 3.61 μB/f.u.

=====

Ordering by calculated energy gives the sequence i, ii, iii, with the first entry being the most stable.

=====

i.
The following is a DFT calculation (PBE-GGA) of crystalline Ca2MoRh at its relaxed geometry.

abc: 3.2731 3.2731 9.0441
angles: 90.00 90.00 89.98
With the nearest neighbours (Å) after each atom.
Fractional coordinates of all 4 atoms:
Rh 0.5000 0.5000 0.6954  4 Mo 2.61
Mo 0.0000 0.0000 0.5629  4 Rh 2.61
Ca 0.0000 0.0000 0.9293  4 Rh 3.14, 4 Ca 3.27, 1 Mo 3.31
Ca 0.5000 0.5000 0.3124  4 Mo 3.24, 4 Ca 3.27, 1 Rh 3.46

## Properties
total moment: 0.00 μB/f.u.

=====

ii.
The following is a DFT calculation (PBE-GGA) of crystalline Ca2MoRh at its relaxed geometry.

abc: 3.0219 3.0219 9.0511
angles: 90.00 90.00 91.50
With the nearest neighbours (Å) after each atom.
Fractional coordinates of all 4 atoms:
Mo 0.5000 0.5000 0.2500  4 Mo 3.02, 8 Ca 3.28-3.31
Ca 0.0000 0.0000 0.9727  4 Rh 2.92-2.96, 4 Ca 3.02
Ca 0.0000 0.0000 0.5273  4 Rh 2.92-2.96, 4 Ca 3.02
Rh 0.5000 0.5000 0.7500  8 Ca 2.92-2.96, 4 Rh 3.02

## Properties
total moment: 0.00 μB/f.u.

=====

iii.
The following is a DFT calculation (PBE-GGA) of crystalline Ca2MoRh at its relaxed geometry.

abc: 5.9434 5.9434 5.1467
angles: 64.35 64.35 35.36
With the nearest neighbours (Å) after each atom.
Fractional coordinates of all 4 atoms:
Rh 0.2146 0.2146 0.2856  2 Mo 2.43
Ca 0.9732 0.9732 0.0268  4 Rh 3.17-3.54, 4 Mo 3.25, 4 Ca 3.36-3.40
Ca 0.7584 0.7584 0.7417  4 Rh 3.17, 4 Mo 3.30-3.49, 4 Ca 3.36-3.40
Mo 0.5539 0.5539 0.4460  2 Rh 2.43

## Properties
total moment: 0.00 μB/f.u.

=====

Ordering by calculated energy gives the sequence i, iii, ii, with the first entry being the most stable.

=====

i.
The following is a DFT calculation (PBE-GGA) of crystalline Ca2MoRh at its relaxed geometry.

abc: 4.6289 4.6289 4.1084
angles: 90.00 90.00 90.00
With the nearest neighbours (Å) after each atom.
Fractional coordinates of all 4 atoms:
Ca 0.5000 0.5000 0.0000  4 Mo 3.09, 4 Rh 3.09, 4 Ca 3.27
Ca 0.0000 0.0000 0.0000  4 Mo 3.09, 4 Rh 3.09, 4 Ca 3.27
Rh 0.0000 0.5000 0.5000  8 Ca 3.09, 4 Mo 3.27
Mo 0.5000 0.0000 0.5000  8 Ca 3.09, 4 Rh 3.27

## Properties
total moment: 3.31 μB/f.u.

=====

ii.
The following is a DFT calculation (PBE-GGA) of crystalline Ca2MoRh at its relaxed geometry.

abc: 9.7283 9.7283 9.7283
angles: 18.71 18.71 18.71
With the nearest neighbours (Å) after each atom.
Fractional coordinates of all 4 atoms:
Ca 0.0073 0.0073 0.0073  3 Rh 2.84, 6 Ca 3.16, 3 Mo 3.18
Ca 0.4927 0.4927 0.4927  3 Rh 2.84, 6 Ca 3.16, 3 Mo 3.18
Rh 0.7500 0.7500 0.7500  6 Ca 2.84, 6 Rh 3.16
Mo 0.2500 0.2500 0.2500  6 Mo 3.16, 6 Ca 3.18

## Properties
total moment: 0.34 μB/f.u.

=====

Ordering by calculated energy gives the sequence ii, i, with the first entry being the most stable.